! IrCS3 (GGA-PBE, relaxed); values from VASP
! Spin magnetization = 0.258 μB/atom
! Energy above the most stable polymorph in this dataset = 475 meV per atom
! Energy relative to the elements, uncorrected = 1.910 eV/atom
! Space group = Pm-3m
&SYSTEM
  ibrav = 0, nat = 5, ntyp = 3
/
ATOMIC_SPECIES
Ir 192.22 Ir.upf
S 32.06 S.upf
C 12.01 C.upf
ATOMIC_POSITIONS crystal
Ir 0.000 0.000 0.000
S 0.000 0.000 0.500
S 0.000 0.500 0.000
S 0.500 0.000 0.000
C 0.500 0.500 0.500
CELL_PARAMETERS angstrom
4.643 0.000 0.000
0.000 4.643 0.000
0.000 0.000 4.643